This record from Alexandria describes crystalline Dy2PaRh at its relaxed geometry. The functional is PBE.

DFT total energy = -26.022 eV/f.u.
spin magnetization = 0.00 μB/cell
energy above the most stable polymorph in this dataset = 0.294 eV per atom

Unit cell a=3.3074 b=3.3074 c=31.6913 alpha=90.00 beta=90.00 gamma=120.00
Last column: nearest neighbours and their distance in Å.
Space group R-3m (No. 166, hexagonal axes)
Asymmetric unit:
Dy  0.0000  0.0000  0.1021 (multiplicity 6)  3 Rh 2.80
Pa  0.0000  0.0000  0.0000 (multiplicity 3)  2 Dy 3.24, 6 Pa 3.31
Rh  0.0000  0.0000  0.5000 (multiplicity 3)  6 Dy 2.80